Model i:
First-principles (PBE-GGA) data for MgZrReSb after structural relaxation, as listed in OQMD via LeMat-Bulk.

a = 6.6936 Å, b = 6.6936 Å, c = 6.6936 Å
α = 90.00°, β = 90.00°, γ = 90.00°
Space group F-43m (No. 216)
Unique sites:
Mg (0.0000, 0.0000, 0.0000) x4
Zr (0.2500, 0.2500, 0.7500) x4
Re (0.2500, 0.2500, 0.2500) x4
Sb (0.0000, 0.0000, 0.5000) x4



Model ii:
First-principles (PBE-GGA) data for MgZrReSb after structural relaxation, as listed in OQMD via LeMat-Bulk.

a = 6.6493 Å, b = 6.6493 Å, c = 6.6493 Å
α = 90.00°, β = 90.00°, γ = 90.00°
Space group F-43m (No. 216)
Unique sites:
Mg (0.0000, 0.0000, 0.0000) x4
Zr (0.2500, 0.2500, 0.7500) x4
Re (0.0000, 0.0000, 0.5000) x4
Sb (0.2500, 0.2500, 0.2500) x4



Which of them is the most stable? Correct choice: model ii.



Model i:
First-principles (PBE-GGA) data for MgScReTe after structural relaxation, as listed in OQMD via LeMat-Bulk.

a = 6.6727 Å, b = 6.6727 Å, c = 6.6727 Å
α = 90.00°, β = 90.00°, γ = 90.00°
Space group F-43m (No. 216)
Unique sites:
Mg (0.0000, 0.0000, 0.0000) x4
Sc (0.2500, 0.2500, 0.2500) x4
Re (0.2500, 0.2500, 0.7500) x4
Te (0.0000, 0.0000, 0.5000) x4



Model ii:
First-principles (PBE-GGA) data for MgScReTe after structural relaxation, as listed in OQMD via LeMat-Bulk.

a = 6.6590 Å, b = 6.6590 Å, c = 6.6590 Å
α = 90.00°, β = 90.00°, γ = 90.00°
Space group F-43m (No. 216)
Unique sites:
Mg (0.0000, 0.0000, 0.0000) x4
Sc (0.2500, 0.2500, 0.2500) x4
Re (0.0000, 0.0000, 0.5000) x4
Te (0.2500, 0.2500, 0.7500) x4



Which of them is the most stable? Correct choice: model i.



Model i:
First-principles (PBE-GGA) data for MgScReW after structural relaxation, as listed in OQMD via LeMat-Bulk.

a = 6.4529 Å, b = 6.4529 Å, c = 6.4529 Å
α = 90.00°, β = 90.00°, γ = 90.00°
Space group F-43m (No. 216)
Unique sites:
Mg (0.0000, 0.0000, 0.0000) x4
Sc (0.2500, 0.2500, 0.2500) x4
Re (0.2500, 0.2500, 0.7500) x4
W (0.0000, 0.0000, 0.5000) x4



Model ii:
First-principles (PBE-GGA) data for MgScReW after structural relaxation, as listed in OQMD via LeMat-Bulk.

a = 6.4655 Å, b = 6.4655 Å, c = 6.4655 Å
α = 90.00°, β = 90.00°, γ = 90.00°
Space group F-43m (No. 216)
Unique sites:
Mg (0.0000, 0.0000, 0.0000) x4
Sc (0.2500, 0.2500, 0.2500) x4
Re (0.0000, 0.0000, 0.5000) x4
W (0.2500, 0.2500, 0.7500) x4



Which of them is the most stable? Correct choice: model ii.



Model i:
First-principles (PBE-GGA) data for MgTaReSi after structural relaxation, as listed in OQMD via LeMat-Bulk.

a = 6.2603 Å, b = 6.2603 Å, c = 6.2603 Å
α = 90.00°, β = 90.00°, γ = 90.00°
Space group F-43m (No. 216)
Unique sites:
Mg (0.0000, 0.0000, 0.0000) x4
Ta (0.2500, 0.2500, 0.2500) x4
Re (0.2500, 0.2500, 0.7500) x4
Si (0.0000, 0.0000, 0.5000) x4



Model ii:
First-principles (PBE-GGA) data for MgTaReSi after structural relaxation, as listed in OQMD via LeMat-Bulk.

a = 6.2581 Å, b = 6.2581 Å, c = 6.2581 Å
α = 90.00°, β = 90.00°, γ = 90.00°
Space group F-43m (No. 216)
Unique sites:
Mg (0.0000, 0.0000, 0.0000) x4
Ta (0.2500, 0.2500, 0.2500) x4
Re (0.0000, 0.0000, 0.5000) x4
Si (0.2500, 0.2500, 0.7500) x4



Which of them is the most stable? Correct choice: model ii.



Model i:
First-principles (PBE-GGA) data for YMgReTe after structural relaxation, as listed in OQMD via LeMat-Bulk.

a = 6.8656 Å, b = 6.8656 Å, c = 6.8656 Å
α = 90.00°, β = 90.00°, γ = 90.00°
Space group F-43m (No. 216)
Unique sites:
Y (0.0000, 0.0000, 0.0000) x4
Mg (0.2500, 0.2500, 0.2500) x4
Re (0.2500, 0.2500, 0.7500) x4
Te (0.0000, 0.0000, 0.5000) x4



Model ii:
First-principles (PBE-GGA) data for YMgReTe after structural relaxation, as listed in OQMD via LeMat-Bulk.

a = 7.0113 Å, b = 7.0113 Å, c = 7.0113 Å
α = 90.00°, β = 90.00°, γ = 90.00°
Space group F-43m (No. 216)
Unique sites:
Y (0.0000, 0.0000, 0.0000) x4
Mg (0.0000, 0.0000, 0.5000) x4
Re (0.2500, 0.2500, 0.2500) x4
Te (0.2500, 0.2500, 0.7500) x4



Model iii:
First-principles (PBE-GGA) data for YMgReTe after structural relaxation, as listed in OQMD via LeMat-Bulk.

a = 6.8894 Å, b = 6.8894 Å, c = 6.8894 Å
α = 90.00°, β = 90.00°, γ = 90.00°
Space group F-43m (No. 216)
Unique sites:
Y (0.0000, 0.0000, 0.0000) x4
Mg (0.2500, 0.2500, 0.2500) x4
Re (0.0000, 0.0000, 0.5000) x4
Te (0.2500, 0.2500, 0.7500) x4



Which of them is the most stable? Correct choice: model iii.



Model i:
First-principles (PBE-GGA) data for MgURe after structural relaxation, as listed in OQMD via LeMat-Bulk.

a = 6.4300 Å, b = 6.4300 Å, c = 6.4300 Å
α = 90.00°, β = 90.00°, γ = 90.00°
Space group F-43m (No. 216)
Unique sites:
Mg (0.0000, 0.0000, 0.0000) x4
U (0.0000, 0.0000, 0.5000) x4
Re (0.2500, 0.2500, 0.7500) x4



Model ii:
First-principles (PBE-GGA) data for MgURe after structural relaxation, as listed in OQMD via LeMat-Bulk.

a = 6.4841 Å, b = 6.4841 Å, c = 6.4841 Å
α = 90.00°, β = 90.00°, γ = 90.00°
Space group F-43m (No. 216)
Unique sites:
Mg (0.0000, 0.0000, 0.0000) x4
U (0.2500, 0.2500, 0.7500) x4
Re (0.0000, 0.0000, 0.5000) x4



Which of them is the most stable? Correct choice: model i.



Model i:
First-principles (PBE-GGA) data for YMgReW after structural relaxation, as listed in OQMD via LeMat-Bulk.

a = 6.6858 Å, b = 6.6858 Å, c = 6.6858 Å
α = 90.00°, β = 90.00°, γ = 90.00°
Space group F-43m (No. 216)
Unique sites:
Y (0.0000, 0.0000, 0.0000) x4
Mg (0.0000, 0.0000, 0.5000) x4
Re (0.2500, 0.2500, 0.2500) x4
W (0.2500, 0.2500, 0.7500) x4



Model ii:
First-principles (PBE-GGA) data for YMgReW after structural relaxation, as listed in OQMD via LeMat-Bulk.

a = 6.6398 Å, b = 6.6398 Å, c = 6.6398 Å
α = 90.00°, β = 90.00°, γ = 90.00°
Space group F-43m (No. 216)
Unique sites:
Y (0.0000, 0.0000, 0.0000) x4
Mg (0.2500, 0.2500, 0.2500) x4
Re (0.0000, 0.0000, 0.5000) x4
W (0.2500, 0.2500, 0.7500) x4



Which of them is the most stable? Correct choice: model ii.



Model i:
First-principles (PBE-GGA) data for MgScZnSb after structural relaxation, as listed in OQMD via LeMat-Bulk.

a = 7.0708 Å, b = 7.0708 Å, c = 7.0708 Å
α = 90.00°, β = 90.00°, γ = 90.00°
Space group F-43m (No. 216)
Unique sites:
Mg (0.0000, 0.0000, 0.0000) x4
Sc (0.2500, 0.2500, 0.7500) x4
Zn (0.2500, 0.2500, 0.2500) x4
Sb (0.0000, 0.0000, 0.5000) x4



Model ii:
First-principles (PBE-GGA) data for MgScZnSb after structural relaxation, as listed in OQMD via LeMat-Bulk.

a = 7.0308 Å, b = 7.0308 Å, c = 7.0308 Å
α = 90.00°, β = 90.00°, γ = 90.00°
Space group F-43m (No. 216)
Unique sites:
Mg (0.0000, 0.0000, 0.0000) x4
Sc (0.2500, 0.2500, 0.7500) x4
Zn (0.0000, 0.0000, 0.5000) x4
Sb (0.2500, 0.2500, 0.2500) x4



Which of them is the most stable? Correct choice: model i.